Record 1
ThTaBi: relaxed, PBE.

a = 4.940 Å, b = 4.940 Å, c = 4.940 Å
α = 60.00°, β = 60.00°, γ = 60.00°
Atoms (fractional coordinates):
1 Th 0.250 0.250 0.250
2 Ta 0.000 0.000 0.000
3 Bi 0.750 0.750 0.750

Computed properties:
The value obtained for the energy above the most stable polymorph in this dataset is 0.000 eV per formula unit. Its space-group type is F-43m (216).

***

Record 2
HfAlCuRe: relaxed, PBE.

a = 4.464 Å, b = 4.464 Å, c = 4.464 Å
α = 60.00°, β = 60.00°, γ = 60.00°
Atoms (fractional coordinates):
1 Hf 0.500 0.500 0.500
2 Cu 0.750 0.750 0.750
3 Re 0.250 0.250 0.250
4 Al 0.000 0.000 0.000

Computed properties:
The value obtained for the energy above the most stable polymorph in this dataset is 0.000 eV per formula unit. Its space-group type is F-43m (216).

***

Record 3
Dy3Er2Tm2Ni2Te2: relaxed, PBE.

a = 9.293 Å, b = 9.293 Å, c = 9.293 Å
α = 156.18°, β = 66.85°, γ = 118.58°
Atoms (fractional coordinates):
1 Dy 0.060 0.413 0.647
2 Te 0.413 0.913 0.500
3 Te 0.022 0.022 0.000
4 Ni 0.513 0.752 0.761
5 Er 0.375 0.059 0.315
6 Tm 0.131 0.264 0.866
7 Er 0.744 0.059 0.685
8 Tm 0.398 0.264 0.134
9 Ni 0.991 0.752 0.239
10 Dy 0.766 0.413 0.353
11 Dy 0.681 0.681 0.000

Computed properties:
The value obtained for the energy above the most stable polymorph in this dataset is 0.022 eV per formula unit. Its space-group type is Imm2 (44).

***

Record 4
Cu4Ag: relaxed, PBE.

a = 8.876 Å, b = 8.876 Å, c = 5.560 Å
α = 98.97°, β = 98.97°, γ = 17.58°
Atoms (fractional coordinates):
1 Ag 0.600 0.600 0.046
2 Cu 0.798 0.798 0.636
3 Ag 0.400 0.400 0.954
4 Cu 0.999 0.999 0.721
5 Cu 0.604 0.604 0.555
6 Cu 0.794 0.794 0.159
7 Cu 0.001 0.001 0.279
8 Cu 0.202 0.202 0.364
9 Cu 0.206 0.206 0.841
10 Cu 0.396 0.396 0.445

Computed properties:
The calculated formation energy is 0.067 eV per atom. The value obtained for the energy above the most stable polymorph in this dataset is 0.116 eV per formula unit. Its space-group type is C2/m (12).